Record 1
LaTmBi2 | PBE | relaxed

The structure belongs to space group R3m (No. 160, hexagonal axes); the cell edges are 4.5405, 4.5405 and 23.2739 Å and the angles 90.00°, 90.00° and 120.00°. The distinct sites, in fractional coordinates, are La at (0.0000, 0.0000, 0.0000), Tm at (0.0000, 0.0000, 0.1706), Bi at (0.0000, 0.0000, 0.4222) and Bi at (0.0000, 0.0000, 0.5821).

The raw total energy is -0.1869 hartree per atom. The polymorph energy (0 for the lowest one) comes out at 46.1 kJ/mol of formula units. As for the size of the total moment: 0.00 μB per cell.

Record 2
LaTm4Bi5 | PBE | relaxed

The structure belongs to space group C2/m (No. 12); the cell edges are 14.871, 4.494 and 10.998 Å and the angles 90.00°, 119.48° and 90.00°. The distinct sites, in fractional coordinates, are La at (0.000, 0.000, 0.000), Tm at (0.096, 0.500, 0.397), Tm at (0.202, 0.000, 0.795), Bi at (0.000, 0.000, 0.500), Bi at (0.107, 0.500, 0.896) and Bi at (0.204, 0.000, 0.310).

The raw total energy is -0.1856 hartree per atom. As for the size of the total moment: 0.00 μB per cell.

Record 3
LaTmBi | PBE | relaxed

The structure belongs to space group Immm (No. 71); the cell edges are 3.543, 6.103 and 18.415 Å and the angles 90.00°, 90.00° and 90.00°. The distinct sites, in fractional coordinates, are La at (0.000, 0.000, 0.165), Tm at (0.000, 0.253, 0.500) and Bi at (0.000, 0.000, 0.345).

The raw total energy is -0.1747 hartree per atom. As for the size of the total moment: 1.04 μB per cell.

| no. | DFT formation energy (kJ/mol of atoms) |
| --- | --- |
| 1 | -76.8 |
| 2 | -80.0 |
| 3 | -31.7 |